[1]
Here is a relaxed DyZrTc2 crystal from Alexandria via LeMat-Bulk. Energies are from PBE.

Lattice parameters (Å, degrees): 3.348 3.348 6.782 90.00 90.00 90.00
Sites, in units of the cell vectors:
1 Dy 0.000 0.000 0.000
2 Zr 0.000 0.000 0.500
3 Tc 0.500 0.500 0.268
4 Tc 0.500 0.500 0.732

Output
Crystal system ... tetragonal
Calculated formation energy ... -77 meV/atom

---

[2]
Here is a relaxed LiHfAl crystal from Alexandria via LeMat-Bulk. Energies are from PBE.

Lattice parameters (Å, degrees): 5.638 5.638 7.979 122.33 122.33 32.13
Sites, in units of the cell vectors:
1 Li 0.148 0.148 0.032
2 Li 0.852 0.852 0.968
3 Hf 0.394 0.394 0.650
4 Hf 0.606 0.606 0.350
5 Al 0.134 0.134 0.675
6 Al 0.866 0.866 0.325

Output
Crystal system ... monoclinic
Calculated formation energy ... -96 meV/atom

---

[3]
Here is a relaxed NaGaSeN2 crystal from Alexandria via LeMat-Bulk. Energies are from PBE.

Lattice parameters (Å, degrees): 4.438 4.438 5.667 90.00 90.00 90.00
Sites, in units of the cell vectors:
1 Na 0.000 0.000 0.000
2 Ga 0.500 0.500 0.500
3 Se 0.000 0.000 0.500
4 N 0.000 0.500 0.000
5 N 0.500 0.000 0.000

Output
Crystal system ... tetragonal
E_form (uncorrected) ... 8.68 eV/f.u.